(1)
VASP calculation (PBE) on a relaxed structure of AcNd3Sm6.

Calculated values
* E_form: 288 meV per atom
* total magnetic moment: 0.00 μB per formula unit
* DFT total energy: -4.3848 eV/atom
* energy above the most stable polymorph in this dataset: 108 meV per atom

a = 10.118 Å, b = 10.118 Å, c = 7.116 Å
α = 44.69°, β = 44.69°, γ = 60.00°
Sites, in units of the cell vectors:
Ac 0.900 0.900 0.300
Sm 0.236 0.900 0.300
Sm 0.727 0.073 0.800
Nd 0.400 0.400 0.800
Nd 0.160 0.160 0.519
Nd 0.640 0.640 0.081
Sm 0.400 0.727 0.800
Sm 0.563 0.236 0.300
Sm 0.073 0.400 0.800
Sm 0.900 0.563 0.300



(2)
VASP calculation (PBE) on a relaxed structure of Ac12Nd5Sm.

Calculated values
* E_form: 37 meV per atom
* total magnetic moment: 0.00 μB per formula unit
* DFT total energy: -4.2890 eV/atom

a = 11.699 Å, b = 11.657 Å, c = 6.720 Å
α = 73.81°, β = 90.00°, γ = 59.88°
Sites, in units of the cell vectors:
Ac 0.998 0.333 0.000
Ac 0.169 0.334 0.500
Ac 0.497 0.334 0.500
Nd 0.500 0.000 0.500
Nd 0.166 0.667 0.499
Ac 0.331 0.667 0.000
Ac 0.670 0.333 0.000
Nd 0.667 0.666 0.000
Nd 0.334 0.333 0.000
Ac 0.336 0.000 0.000
Sm 0.000 0.000 0.000
Ac 0.003 0.667 0.000
Ac 0.836 0.000 0.500
Ac 0.164 0.000 0.500
Ac 0.502 0.667 0.500
Ac 0.831 0.667 0.500
Nd 0.833 0.333 0.500
Ac 0.665 0.000 0.000



(3)
VASP calculation (PBE) on a relaxed structure of Ac6Nd5Sm.

Calculated values
* E_form: 26 meV per atom
* total magnetic moment: 0.00 μB per formula unit
* DFT total energy: -4.4079 eV/atom

a = 5.498 Å, b = 10.557 Å, c = 10.130 Å
α = 121.40°, β = 105.72°, γ = 90.00°
Sites, in units of the cell vectors:
Nd 0.000 0.500 0.000
Ac 0.500 0.249 0.000
Ac 0.834 0.083 0.667
Ac 0.166 0.416 0.333
Ac 0.834 0.584 0.667
Nd 0.667 0.666 0.333
Ac 0.500 0.751 0.000
Nd 0.333 0.833 0.667
Nd 0.333 0.334 0.667
Ac 0.166 0.917 0.333
Sm 0.000 0.000 0.000
Nd 0.667 0.167 0.333



(4)
VASP calculation (PBE) on a relaxed structure of Ac6Nd2Sm5.

Calculated values
* E_form: 151 meV per atom
* total magnetic moment: 0.00 μB per formula unit
* DFT total energy: -4.2936 eV/atom

a = 3.778 Å, b = 11.467 Å, c = 23.868 Å
α = 90.00°, β = 90.00°, γ = 90.00°
Sites, in units of the cell vectors:
Ac 0.500 0.166 0.632
Ac 0.000 0.521 0.389
Ac 0.500 0.334 0.132
Nd 0.000 0.837 0.231
Sm 0.500 0.667 0.504
Sm 0.500 0.833 0.004
Nd 0.000 0.337 0.269
Sm 0.500 0.087 0.249
Nd 0.000 0.163 0.769
Ac 0.000 0.354 0.886
Ac 0.000 0.479 0.611
Sm 0.500 0.913 0.751
Ac 0.000 0.854 0.614
Ac 0.500 0.834 0.368
Sm 0.500 0.500 0.000
Sm 0.500 0.587 0.251
Sm 0.500 0.167 0.996
Ac 0.000 0.646 0.114
Sm 0.500 0.000 0.500
Sm 0.500 0.413 0.749
Ac 0.500 0.666 0.868
Ac 0.000 0.979 0.889
Nd 0.000 0.663 0.731
Sm 0.500 0.333 0.496
Ac 0.000 0.146 0.386
Ac 0.000 0.021 0.111



(5)
VASP calculation (PBE) on a relaxed structure of Ac2NdSm9.

Calculated values
* E_form: 30 meV per atom
* total magnetic moment: 0.00 μB per formula unit
* DFT total energy: -4.5916 eV/atom

a = 5.217 Å, b = 5.217 Å, c = 15.659 Å
α = 90.00°, β = 90.00°, γ = 90.00°
Sites, in units of the cell vectors:
Sm 0.500 0.500 0.669
Sm 0.500 0.500 0.331
Sm 0.000 0.500 0.162
Sm 0.000 0.500 0.838
Nd 0.000 0.000 0.000
Sm 0.500 0.000 0.162
Sm 0.500 0.000 0.500
Sm 0.500 0.000 0.838
Sm 0.500 0.500 0.000
Sm 0.000 0.500 0.500
Ac 0.000 0.000 0.668
Ac 0.000 0.000 0.332



(6)
VASP calculation (PBE) on a relaxed structure of Ac5Nd4Sm4.

Calculated values
* E_form: 42 meV per atom
* total magnetic moment: 0.00 μB per formula unit
* DFT total energy: -4.4575 eV/atom

a = 5.336 Å, b = 10.042 Å, c = 10.042 Å
α = 85.95°, β = 74.59°, γ = 74.59°
Sites, in units of the cell vectors:
Sm 0.765 0.392 0.078
Sm 0.157 0.078 0.608
Ac 0.538 0.764 0.160
Ac 0.698 0.840 0.764
Sm 0.235 0.608 0.922
Sm 0.843 0.922 0.392
Nd 0.613 0.312 0.461
Ac 0.000 0.000 0.000
Ac 0.302 0.160 0.236
Nd 0.074 0.539 0.312
Nd 0.387 0.688 0.539
Nd 0.926 0.461 0.688
Ac 0.462 0.236 0.840



(7)
VASP calculation (PBE) on a relaxed structure of Ac3NdSm.

Calculated values
* E_form: 171 meV per atom
* total magnetic moment: 0.00 μB per formula unit
* DFT total energy: -4.1919 eV/atom
* energy above the most stable polymorph in this dataset: 132 meV per atom

a = 7.542 Å, b = 10.114 Å, c = 9.384 Å
α = 136.33°, β = 90.00°, γ = 111.89°
Sites, in units of the cell vectors:
Ac 0.250 0.500 0.500
Ac 0.404 0.309 0.691
Sm 0.943 0.887 0.113
Ac 0.904 0.309 0.691
Ac 0.750 0.500 0.500
Nd 0.557 0.114 0.887
Nd 0.443 0.886 0.113
Sm 0.057 0.113 0.887
Ac 0.596 0.691 0.309
Ac 0.096 0.691 0.309



(8)
VASP calculation (PBE) on a relaxed structure of Ac6Nd5Sm2.

Calculated values
* E_form: 139 meV per atom
* total magnetic moment: 0.00 μB per formula unit
* DFT total energy: -4.3165 eV/atom

a = 3.782 Å, b = 11.474 Å, c = 24.036 Å
α = 90.00°, β = 90.00°, γ = 90.00°
Sites, in units of the cell vectors:
Nd 0.500 0.914 0.751
Ac 0.500 0.666 0.867
Nd 0.500 0.334 0.496
Nd 0.500 0.586 0.251
Nd 0.500 0.166 0.996
Ac 0.000 0.980 0.888
Nd 0.500 0.414 0.749
Ac 0.000 0.520 0.388
Ac 0.000 0.480 0.612
Nd 0.500 0.666 0.504
Nd 0.500 0.500 0.000
Ac 0.000 0.646 0.115
Sm 0.000 0.336 0.268
Ac 0.000 0.354 0.885
Ac 0.000 0.020 0.112
Sm 0.000 0.164 0.768
Sm 0.000 0.836 0.232
Ac 0.000 0.146 0.385
Nd 0.500 0.086 0.249
Nd 0.500 0.834 0.004
Ac 0.500 0.334 0.133
Ac 0.000 0.854 0.615
Ac 0.500 0.166 0.633
Nd 0.500 0.000 0.500
Ac 0.500 0.834 0.367
Sm 0.000 0.664 0.732



(9)
VASP calculation (PBE) on a relaxed structure of Ac2Nd2Sm5.

Calculated values
* E_form: 47 meV per atom
* total magnetic moment: 0.00 μB per formula unit
* DFT total energy: -4.5469 eV/atom
* energy above the most stable polymorph in this dataset: 0 meV per atom

a = 3.685 Å, b = 12.259 Å, c = 10.722 Å
α = 44.51°, β = 99.89°, γ = 90.00°
Sites, in units of the cell vectors:
Sm 0.889 0.665 0.778
Ac 0.455 0.327 0.910
Sm 0.279 0.331 0.558
Ac 0.545 0.673 0.090
Nd 0.186 0.968 0.372
Sm 0.000 0.000 0.000
Sm 0.111 0.335 0.222
Sm 0.721 0.669 0.442
Nd 0.814 0.032 0.628



(10)
VASP calculation (PBE) on a relaxed structure of AcNdSm4.

Calculated values
* E_form: 262 meV per atom
* total magnetic moment: 0.00 μB per formula unit
* DFT total energy: -4.3635 eV/atom
* energy above the most stable polymorph in this dataset: 51 meV per atom

a = 6.685 Å, b = 6.685 Å, c = 11.337 Å
α = 90.00°, β = 90.00°, γ = 120.20°
Sites, in units of the cell vectors:
Sm 0.336 0.664 0.423
Sm 0.655 0.829 0.750
Nd 0.827 0.173 0.250
Sm 0.345 0.171 0.250
Nd 0.173 0.827 0.750
Sm 0.664 0.336 0.923
Sm 0.336 0.664 0.077
Ac 0.000 0.000 0.500
Ac 0.000 0.000 0.000
Sm 0.829 0.655 0.250
Sm 0.171 0.345 0.750
Sm 0.664 0.336 0.577



(11)
VASP calculation (PBE) on a relaxed structure of Ac15Nd4Sm.

Calculated values
* E_form: 26 meV per atom
* total magnetic moment: 0.00 μB per formula unit
* DFT total energy: -4.2452 eV/atom

a = 5.543 Å, b = 5.543 Å, c = 27.591 Å
α = 90.00°, β = 90.00°, γ = 90.00°
Sites, in units of the cell vectors:
Ac 0.500 0.500 0.000
Ac 0.500 0.500 0.600
Ac 0.000 0.500 0.300
Ac 0.500 0.500 0.800
Nd 0.000 0.000 0.400
Ac 0.000 0.500 0.700
Ac 0.500 0.000 0.700
Ac 0.500 0.500 0.200
Ac 0.500 0.000 0.500
Ac 0.500 0.000 0.300
Ac 0.500 0.500 0.400
Ac 0.500 0.000 0.900
Nd 0.000 0.000 0.800
Ac 0.000 0.500 0.100
Ac 0.500 0.000 0.100
Ac 0.000 0.500 0.900
Nd 0.000 0.000 0.600
Nd 0.000 0.000 0.200
Sm 0.000 0.000 0.000
Ac 0.000 0.500 0.500



(12)
VASP calculation (PBE) on a relaxed structure of Ac5Nd5Sm2.

Calculated values
* E_form: 65 meV per atom
* total magnetic moment: 0.00 μB per formula unit
* DFT total energy: -4.4199 eV/atom

a = 5.991 Å, b = 9.549 Å, c = 9.584 Å
α = 66.08°, β = 71.79°, γ = 71.72°
Sites, in units of the cell vectors:
Ac 0.252 0.742 0.755
Nd 0.377 0.962 0.283
Ac 0.878 0.785 0.459
Nd 0.376 0.294 0.954
Ac 0.000 0.000 0.000
Nd 0.623 0.038 0.717
Nd 0.624 0.706 0.046
Sm 0.126 0.547 0.202
Sm 0.874 0.453 0.798
Nd 0.500 0.500 0.500
Ac 0.748 0.258 0.245
Ac 0.122 0.215 0.541



(13)
VASP calculation (PBE) on a relaxed structure of AcNd4Sm8.

Calculated values
* E_form: 229 meV per atom
* total magnetic moment: 0.00 μB per formula unit
* DFT total energy: -4.4580 eV/atom

a = 10.448 Å, b = 10.448 Å, c = 10.448 Å
α = 42.25°, β = 42.25°, γ = 42.25°
Sites, in units of the cell vectors:
Sm 0.756 0.192 0.756
Ac 0.500 0.500 0.500
Sm 0.785 0.785 0.785
Nd 0.000 0.500 0.500
Nd 0.500 0.000 0.500
Sm 0.808 0.244 0.244
Nd 0.500 0.500 0.000
Sm 0.244 0.244 0.808
Sm 0.756 0.756 0.192
Sm 0.244 0.808 0.244
Nd 0.000 0.000 0.000
Sm 0.192 0.756 0.756
Sm 0.215 0.215 0.215



(14)
VASP calculation (PBE) on a relaxed structure of Ac2Nd3Sm4.

Calculated values
* E_form: 163 meV per atom
* total magnetic moment: 0.00 μB per formula unit
* DFT total energy: -4.4370 eV/atom
* energy above the most stable polymorph in this dataset: 83 meV per atom

a = 9.141 Å, b = 8.912 Å, c = 8.875 Å
α = 90.00°, β = 90.00°, γ = 112.07°
Sites, in units of the cell vectors:
Sm 0.132 0.918 0.464
Sm 0.632 0.918 0.036
Nd 0.000 0.500 0.500
Ac 0.450 0.825 0.650
Nd 0.252 0.249 0.677
Sm 0.855 0.479 0.136
Nd 0.752 0.249 0.823
Sm 0.868 0.082 0.536
Sm 0.145 0.521 0.864
Ac 0.950 0.825 0.850
Ac 0.550 0.175 0.350
Nd 0.248 0.751 0.177
Nd 0.500 0.500 0.000
Ac 0.050 0.175 0.150
Sm 0.645 0.521 0.636
Sm 0.355 0.479 0.364
Nd 0.748 0.751 0.323
Sm 0.368 0.082 0.964



(15)
VASP calculation (PBE) on a relaxed structure of AcNd3Sm7.

Calculated values
* E_form: 186 meV per atom
* total magnetic moment: 0.00 μB per formula unit
* DFT total energy: -4.4910 eV/atom
* energy above the most stable polymorph in this dataset: 0 meV per atom

a = 8.867 Å, b = 7.270 Å, c = 7.270 Å
α = 120.00°, β = 90.00°, γ = 90.00°
Sites, in units of the cell vectors:
Sm 0.114 0.166 0.332
Sm 0.449 0.335 0.167
Nd 0.787 0.997 0.499
Ac 0.444 0.333 0.667
Sm 0.124 0.667 0.333
Sm 0.449 0.833 0.167
Sm 0.114 0.166 0.834
Sm 0.449 0.833 0.665
Sm 0.114 0.668 0.834
Nd 0.787 0.501 0.499
Nd 0.787 0.501 0.003



(16)
VASP calculation (PBE) on a relaxed structure of AcNd12Sm3.

Calculated values
* E_form: 16 meV per atom
* total magnetic moment: 0.00 μB per formula unit
* DFT total energy: -4.7010 eV/atom

a = 5.218 Å, b = 5.218 Å, c = 20.857 Å
α = 90.00°, β = 90.00°, γ = 90.00°
Sites, in units of the cell vectors:
Nd 0.500 0.000 0.130
Nd 0.500 0.000 0.624
Nd 0.500 0.500 0.000
Nd 0.500 0.500 0.746
Nd 0.500 0.500 0.254
Nd 0.000 0.500 0.376
Nd 0.000 0.500 0.870
Sm 0.000 0.000 0.748
Nd 0.500 0.500 0.500
Nd 0.500 0.000 0.376
Nd 0.500 0.000 0.870
Sm 0.000 0.000 0.252
Sm 0.000 0.000 0.500
Ac 0.000 0.000 0.000
Nd 0.000 0.500 0.130
Nd 0.000 0.500 0.624



(17)
VASP calculation (PBE) on a relaxed structure of AcNd5Sm4.

Calculated values
* E_form: 167 meV per atom
* total magnetic moment: 0.00 μB per formula unit
* DFT total energy: -4.5154 eV/atom
* energy above the most stable polymorph in this dataset: 145 meV per atom

a = 3.650 Å, b = 11.351 Å, c = 9.133 Å
α = 83.39°, β = 101.53°, γ = 90.00°
Sites, in units of the cell vectors:
Nd 0.135 0.730 0.270
Nd 0.500 0.500 0.000
Nd 0.865 0.270 0.730
Sm 0.699 0.118 0.398
Nd 0.806 0.597 0.611
Sm 0.048 0.245 0.096
Ac 0.500 0.000 0.000
Sm 0.952 0.755 0.904
Nd 0.194 0.403 0.389
Sm 0.301 0.882 0.602



(18)
VASP calculation (PBE) on a relaxed structure of AcNd7Sm2.

Calculated values
* E_form: 369 meV per atom
* total magnetic moment: 0.00 μB per formula unit
* DFT total energy: -4.3230 eV/atom
* energy above the most stable polymorph in this dataset: 0 meV per atom

a = 3.597 Å, b = 10.608 Å, c = 10.608 Å
α = 110.10°, β = 90.00°, γ = 90.00°
Sites, in units of the cell vectors:
Ac 0.000 0.000 0.000
Sm 0.500 0.176 0.824
Nd 0.000 0.673 0.327
Nd 0.500 0.500 0.500
Nd 0.500 0.875 0.610
Nd 0.500 0.610 0.875
Nd 0.500 0.390 0.125
Nd 0.000 0.327 0.673
Nd 0.500 0.125 0.390
Sm 0.500 0.824 0.176



(19)
VASP calculation (PBE) on a relaxed structure of Ac2Nd3Sm7.

Calculated values
* E_form: 92 meV per atom
* total magnetic moment: 0.00 μB per formula unit
* DFT total energy: -4.5375 eV/atom

a = 3.666 Å, b = 6.532 Å, c = 18.638 Å
α = 76.24°, β = 90.00°, γ = 90.00°
Sites, in units of the cell vectors:
Sm 0.500 0.065 0.163
Sm 0.000 0.437 0.840
Sm 0.000 0.000 0.000
Nd 0.500 0.500 0.000
Nd 0.000 0.113 0.339
Ac 0.500 0.384 0.673
Sm 0.000 0.563 0.160
Ac 0.500 0.616 0.327
Sm 0.500 0.935 0.837
Sm 0.500 0.240 0.500
Nd 0.000 0.887 0.661
Sm 0.500 0.760 0.500